No. 1
The following is a DFT calculation (PBE) of a geometry-optimized Cd4RhAu structure.

- excess energy over the best structure of this formula in the dataset (eV/atom) = 0.374
- total magnetization (μB per formula unit) = 0.0
- calculated volume (Å³/atom) = 19.83
- calculated formation energy (eV per atom) = 0.23

abc: 5.520 5.520 5.520
angles: 60.00 60.00 60.00
Fractional positions:
1 Cd 0.125 0.125 0.125
2 Cd 0.125 0.125 0.626
3 Cd 0.125 0.626 0.125
4 Cd 0.626 0.125 0.125
5 Rh 0.750 0.750 0.750
6 Au 0.500 0.500 0.500

=====

No. 2
The following is a DFT calculation (PBE) of a geometry-optimized MgCu2O4 structure.

- excess energy over the best structure of this formula in the dataset (eV/atom) = 0.000
- total magnetization (μB per formula unit) = 0.0
- calculated volume (Å³/atom) = 9.96
- formation energy from raw total energies (meV/atom) = -1097.6

abc: 6.081 6.081 6.081
angles: 126.83 126.83 78.53
Fractional positions:
1 Mg 0.375 0.125 0.250
2 Mg 0.625 0.875 0.750
3 Cu 0.000 0.000 0.500
4 Cu 0.000 0.500 0.000
5 Cu 0.000 0.500 0.500
6 Cu 0.500 0.500 0.000
7 O 0.014 0.125 0.293
8 O 0.221 0.514 0.389
9 O 0.332 0.721 0.207
10 O 0.375 0.168 0.889
11 O 0.625 0.832 0.111
12 O 0.668 0.279 0.793
13 O 0.779 0.486 0.611
14 O 0.986 0.875 0.707

=====

No. 3
The following is a DFT calculation (PBE) of a geometry-optimized KBeW structure.

- excess energy over the best structure of this formula in the dataset (eV/atom) = 0.000
- total magnetization (μB per formula unit) = 0.0
- calculated volume (Å³/atom) = 20.82
- calculated formation energy (eV per atom) = 1.05

abc: 6.942 6.942 6.942
angles: 157.86 150.26 37.39
Fractional positions:
1 K 0.000 0.000 0.000
2 Be 0.298 0.298 0.000
3 W 0.724 0.724 0.000

=====

No. 4
The following is a DFT calculation (PBE) of a geometry-optimized Ac6Nd structure.

- excess energy over the best structure of this formula in the dataset (eV/atom) = 1.175
- total magnetization (μB per formula unit) = 0.0
- calculated volume (Å³/atom) = 57.89
- calculated formation energy (eV per atom) = 1.47

abc: 8.074 8.074 8.074
angles: 109.47 109.47 109.47
Fractional positions:
1 Ac 0.250 0.500 0.750
2 Ac 0.250 0.750 0.500
3 Ac 0.500 0.250 0.750
4 Ac 0.500 0.750 0.250
5 Ac 0.750 0.250 0.500
6 Ac 0.750 0.500 0.250
7 Nd 0.000 0.000 0.000

=====

No. 5
The following is a DFT calculation (PBE) of a geometry-optimized GdZrGaAu structure.

- total magnetization (μB per formula unit) = 8.2
- calculated volume (Å³/atom) = 21.96
- calculated formation energy (eV per atom) = -0.50

abc: 4.989 4.989 4.989
angles: 60.00 60.00 60.00
Fractional positions:
1 Gd 0.000 0.000 0.000
2 Zr 0.500 0.500 0.500
3 Ga 0.750 0.750 0.750
4 Au 0.250 0.250 0.250

=====

No. 6
The following is a DFT calculation (PBE) of a geometry-optimized Tl2ReCBr structure.

- total magnetization (μB per formula unit) = 4.1
- calculated volume (Å³/atom) = 23.22
- formation energy from raw total energies (meV/atom) = 1956.0

abc: 4.939 4.939 4.761
angles: 90.00 90.00 90.00
Fractional positions:
1 Tl 0.000 0.500 0.000
2 Tl 0.500 0.000 0.000
3 Re 0.000 0.000 0.500
4 C 0.500 0.500 0.000
5 Br 0.500 0.500 0.500

=====

No. 7
The following is a DFT calculation (PBE) of a geometry-optimized PmNd4Tl7 structure.

- total magnetization (μB per formula unit) = 0.0
- calculated volume (Å³/atom) = 32.23
- calculated formation energy (eV per atom) = -0.17

abc: 7.335 7.335 11.885
angles: 120.62 120.62 46.63
Fractional positions:
1 Pm 0.000 0.000 0.000
2 Nd 0.270 0.270 0.665
3 Nd 0.411 0.411 0.218
4 Nd 0.589 0.589 0.782
5 Nd 0.730 0.730 0.335
6 Tl 0.081 0.081 0.318
7 Tl 0.218 0.218 0.900
8 Tl 0.369 0.369 0.463
9 Tl 0.500 0.500 0.000
10 Tl 0.631 0.631 0.537
11 Tl 0.782 0.782 0.100
12 Tl 0.919 0.919 0.682

=====

No. 8
The following is a DFT calculation (PBE) of a geometry-optimized Th2Ga8Os structure.

- total magnetization (μB per formula unit) = 0.0
- calculated volume (Å³/atom) = 20.44
- calculated formation energy (eV per atom) = -0.43

abc: 4.429 4.429 11.464
angles: 90.00 90.00 90.00
Fractional positions:
1 Th 0.000 0.000 0.197
2 Th 0.000 0.000 0.803
3 Ga 0.000 0.500 0.000
4 Ga 0.000 0.500 0.385
5 Ga 0.000 0.500 0.615
6 Ga 0.500 0.000 0.000
7 Ga 0.500 0.000 0.385
8 Ga 0.500 0.000 0.615
9 Ga 0.500 0.500 0.194
10 Ga 0.500 0.500 0.806
11 Os 0.000 0.000 0.500

=====

No. 9
The following is a DFT calculation (PBE) of a geometry-optimized SrCa2Cr structure.

- excess energy over the best structure of this formula in the dataset (eV/atom) = 0.076
- total magnetization (μB per formula unit) = 4.9
- calculated volume (Å³/atom) = 36.25
- calculated formation energy (eV per atom) = 0.44

abc: 5.110 5.110 5.553
angles: 90.00 90.00 90.00
Fractional positions:
1 Sr 0.000 0.000 0.000
2 Ca 0.000 0.500 0.500
3 Ca 0.500 0.000 0.500
4 Cr 0.500 0.500 0.000

=====

No. 10
The following is a DFT calculation (PBE) of a geometry-optimized SrZn5I12 structure.

- total magnetization (μB per formula unit) = 0.0
- calculated volume (Å³/atom) = 46.48
- formation energy from raw total energies (meV/atom) = -706.9

abc: 7.265 7.778 16.679
angles: 95.59 95.18 115.61
Fractional positions:
1 Sr 0.000 0.000 0.000
2 Zn 0.000 0.000 0.500
3 Zn 0.252 0.680 0.552
4 Zn 0.297 0.527 0.931
5 Zn 0.703 0.473 0.069
6 Zn 0.748 0.320 0.448
7 I 0.005 0.217 0.843
8 I 0.045 0.637 0.403
9 I 0.233 0.997 0.625
10 I 0.291 0.841 0.896
11 I 0.329 0.462 0.089
12 I 0.373 0.259 0.411
13 I 0.627 0.741 0.589
14 I 0.671 0.538 0.911
15 I 0.709 0.159 0.104
16 I 0.767 0.003 0.375
17 I 0.955 0.363 0.597
18 I 0.995 0.783 0.157

=====

No. 11
The following is a DFT calculation (PBE) of a geometry-optimized Sn3AsW structure.

- excess energy over the best structure of this formula in the dataset (eV/atom) = 0.897
- total magnetization (μB per formula unit) = 0.0
- calculated volume (Å³/atom) = 27.68
- calculated formation energy (eV per atom) = 1.62

abc: 5.173 5.173 5.173
angles: 90.00 90.00 90.00
Fractional positions:
1 Sn 0.000 0.000 0.500
2 Sn 0.000 0.500 0.000
3 Sn 0.500 0.000 0.000
4 As 0.000 0.000 0.000
5 W 0.500 0.500 0.500

=====

No. 12
The following is a DFT calculation (PBE) of a geometry-optimized YAlSe3 structure.

- excess energy over the best structure of this formula in the dataset (eV/atom) = 0.429
- total magnetization (μB per formula unit) = 0.0
- calculated volume (Å³/atom) = 38.31
- formation energy from raw total energies (meV/atom) = -942.2

abc: 5.791 5.791 5.791
angles: 84.34 84.34 84.34
Fractional positions:
1 Y 0.000 0.000 0.000
2 Al 0.716 0.716 0.716
3 Se 0.483 0.959 0.959
4 Se 0.959 0.483 0.959
5 Se 0.959 0.959 0.483